# 1
Here is a relaxed structure of MnNiMoO from Alexandria. Energies are from PBE with a Hubbard U.

Lattice parameters (Å, degrees): 4.8017 2.9545 7.9775 90.00 103.15 90.00
Fractional coordinates of all 8 atoms:
Mn 0.0000 0.0000 0.0000
Mn 0.5000 0.5000 0.0000
Ni 0.2575 0.0000 0.7320
Ni 0.7575 0.5000 0.7320
Mo 0.4757 0.0000 0.3062
Mo 0.9757 0.5000 0.3062
O 0.1908 0.0000 0.4737
O 0.6908 0.5000 0.4737

crystal system: monoclinic
relative energy among the computed polymorphs: 2.64 kJ/mol of atoms

# 2
Here is a relaxed structure of MnNiMoO from Alexandria. Energies are from PBE with a Hubbard U.

Lattice parameters (Å, degrees): 3.1808 2.9927 13.2455 90.00 90.00 90.00
Fractional coordinates of all 8 atoms:
Mn 0.0000 0.0000 0.0000
Mn 0.0000 0.5000 0.5000
Ni 0.5000 0.0000 0.6138
Ni 0.5000 0.5000 0.1138
Mo 0.5000 0.0000 0.3613
Mo 0.5000 0.5000 0.8613
O 0.5000 0.0000 0.7580
O 0.5000 0.5000 0.2580

crystal system: orthorhombic
relative energy among the computed polymorphs: 8.68 kJ/mol of atoms

# 3
Here is a relaxed structure of MnNiMoO from Alexandria. Energies are from PBE with a Hubbard U.

Lattice parameters (Å, degrees): 10.0179 3.9981 3.0421 90.00 107.56 90.00
Fractional coordinates of all 8 atoms:
Mn 0.0000 0.0000 0.0000
Mn 0.5000 0.5000 0.0000
Ni 0.1406 0.5000 0.6411
Ni 0.6406 0.0000 0.6411
Mo 0.3450 0.0000 0.3457
Mo 0.8450 0.5000 0.3457
O 0.1879 0.0000 0.6894
O 0.6879 0.5000 0.6894

crystal system: monoclinic
relative energy among the computed polymorphs: 0.00 kJ/mol of atoms

# 4
Here is a relaxed structure of MnNiMoO from Alexandria. Energies are from PBE with a Hubbard U.

Lattice parameters (Å, degrees): 3.1255 3.1255 6.7347 90.00 90.00 90.00
Fractional coordinates of all 4 atoms:
Mn 0.0000 0.0000 0.0000
Ni 0.5000 0.5000 0.7912
Mo 0.0000 0.0000 0.4885
O 0.5000 0.5000 0.4772

crystal system: tetragonal
relative energy among the computed polymorphs: 10.81 kJ/mol of atoms